Entry 1:
First-principles (PBEsol) data for an optimized crystal structure of NaLiO2F, as listed in Alexandria via LeMat-Bulk. Values from VASP.

Quantum ESPRESSO input file:
```
&SYSTEM
  ibrav = 0, nat = 5, ntyp = 4
/
ATOMIC_SPECIES
Na 22.99 Na.upf
Li 6.94 Li.upf
O 16.00 O.upf
F 19.00 F.upf
CELL_PARAMETERS angstrom
3.725 0.000 0.000
0.000 3.725 0.000
0.000 0.000 3.900
ATOMIC_POSITIONS angstrom
Na 0.000 0.000 0.000
Li 1.862 1.862 1.950
O 0.000 1.862 1.950
O 1.862 0.000 1.950
F 1.862 1.862 0.000
```

Properties
SG: P4/mmm, No. 123
M_tot (μB per formula unit): 3.0
Formation energy (no corrections) (eV/atom): -0.882

---

Entry 2:
First-principles (PBEsol) data for an optimized crystal structure of NaLiVO2F2, as listed in Alexandria via LeMat-Bulk. Values from VASP.

Quantum ESPRESSO input file:
```
&SYSTEM
  ibrav = 0, nat = 14, ntyp = 5
/
ATOMIC_SPECIES
Na 22.99 Na.upf
Li 6.94 Li.upf
V 50.94 V.upf
O 16.00 O.upf
F 19.00 F.upf
CELL_PARAMETERS angstrom
6.581 0.000 0.000
0.000 3.700 0.000
-3.245 0.000 6.303
ATOMIC_POSITIONS angstrom
Na -0.445 0.925 1.194
Na 3.782 2.775 5.109
Li 0.794 2.775 2.863
Li 2.543 0.925 3.440
V 0.205 0.925 5.076
V 3.132 2.775 1.227
O 0.547 0.925 3.376
O 0.163 2.775 5.474
O 3.174 0.925 0.829
O 2.789 2.775 2.927
F -1.686 0.925 4.752
F 1.104 2.775 0.968
F 2.232 0.925 5.335
F 5.022 2.775 1.550
```

Properties
SG: P2_1/m, No. 11
M_tot (μB per formula unit): 1.0
Formation energy (no corrections) (eV/atom): -2.536

---

Entry 3:
First-principles (PBEsol) data for an optimized crystal structure of Na2LiRuF6, as listed in Alexandria via LeMat-Bulk. Values from VASP.

Quantum ESPRESSO input file:
```
&SYSTEM
  ibrav = 0, nat = 10, ntyp = 4
/
ATOMIC_SPECIES
Na 22.99 Na.upf
Li 6.94 Li.upf
Ru 101.07 Ru.upf
F 19.00 F.upf
CELL_PARAMETERS angstrom
0.000 3.914 3.914
3.914 0.000 3.914
3.914 3.914 0.000
ATOMIC_POSITIONS angstrom
Na 1.957 1.957 1.957
Na 5.871 5.871 5.871
Li 0.000 0.000 0.000
Ru 3.914 3.914 3.914
F 3.914 3.914 1.939
F 3.914 1.939 3.914
F 5.889 3.914 3.914
F 1.939 3.914 3.914
F 3.914 5.889 3.914
F 3.914 3.914 5.889
```

Properties
SG: Fm-3m, No. 225
M_tot (μB per formula unit): 1.0
Formation energy (no corrections) (eV/atom): -2.290

---

Entry 4:
First-principles (PBEsol) data for an optimized crystal structure of Na3Li3Sc2F12, as listed in Alexandria via LeMat-Bulk. Values from VASP.

Quantum ESPRESSO input file:
```
&SYSTEM
  ibrav = 0, nat = 80, ntyp = 4
/
ATOMIC_SPECIES
Na 22.99 Na.upf
Li 6.94 Li.upf
Sc 44.96 Sc.upf
F 19.00 F.upf
CELL_PARAMETERS angstrom
-6.263 6.263 6.263
6.263 -6.263 6.263
6.263 6.263 -6.263
ATOMIC_POSITIONS angstrom
Na 3.132 1.566 0.000
Na 6.263 3.132 -1.566
Na 1.566 0.000 3.132
Na 7.829 0.000 3.132
Na 0.000 3.132 1.566
Na 3.132 -1.566 6.263
Na 3.132 7.829 0.000
Na 6.263 3.132 4.697
Na -1.566 6.263 3.132
Na 4.697 6.263 3.132
Na 0.000 3.132 7.829
Na 3.132 4.697 6.263
Li 9.395 1.566 0.000
Li 6.263 -3.132 4.697
Li 4.697 6.263 -3.132
Li 4.697 0.000 3.132
Li 3.132 4.697 0.000
Li 6.263 3.132 1.566
Li 0.000 3.132 4.697
Li 3.132 1.566 6.263
Li 1.566 6.263 3.132
Li 1.566 0.000 9.395
Li 0.000 9.395 1.566
Li -3.132 4.697 6.263
Sc 0.000 0.000 0.000
Sc 3.132 3.132 -3.132
Sc 3.132 -3.132 3.132
Sc 6.263 0.000 0.000
Sc -3.132 3.132 3.132
Sc 0.000 6.263 0.000
Sc 0.000 0.000 6.263
Sc 3.132 3.132 3.132
F 1.870 -0.379 0.649
F 7.525 3.780 -3.511
F 8.133 0.379 0.649
F 7.525 -2.483 3.511
F 5.884 -0.649 1.870
F 9.774 -1.262 2.483
F 0.649 1.870 -0.379
F 8.746 2.752 -1.262
F 3.780 3.511 -1.262
F 5.615 1.870 0.379
F -0.379 0.649 1.870
F 3.511 -1.262 3.780
F 5.884 5.615 -1.870
F 3.511 1.262 2.483
F 3.780 -3.511 7.525
F 5.615 -1.870 5.884
F 2.483 3.511 1.262
F 6.912 4.393 0.379
F 3.511 7.525 -2.483
F 5.884 0.649 4.393
F 1.870 5.884 -0.649
F 7.525 2.483 2.752
F 1.262 2.483 3.511
F 1.870 0.379 5.615
F 4.393 5.884 0.649
F 5.002 3.780 2.752
F -1.262 3.780 3.511
F 4.393 0.379 6.912
F 0.379 5.615 1.870
F 2.752 -1.262 8.746
F -0.649 1.870 5.884
F 3.780 2.752 5.002
F 0.649 8.133 0.379
F 2.483 9.774 -1.262
F 2.752 5.002 3.780
F 0.379 0.649 8.133
F 2.752 7.525 2.483
F 6.643 5.615 4.393
F 0.649 4.393 5.884
F 2.483 2.752 7.525
F -2.483 3.511 7.525
F 5.615 4.393 6.643
F -3.511 7.525 3.780
F 0.379 6.912 4.393
F -1.262 8.746 2.752
F -1.870 5.884 5.615
F -1.262 2.483 9.774
F 4.393 6.643 5.615
```

Properties
SG: Ia-3d, No. 230
M_tot (μB per formula unit): 0.0
Formation energy (no corrections) (eV/atom): -3.337